Computed, not measured: a relaxed structure of InGa2PdI at the GGA-PBE level of DFT.

Output
Total magnetic moment in μB per formula unit: 0.00
Theoretical density in g/cm³: 6.126
Volume in Å³/f.u.: 132
Uncorrected formation energy in meV/atom: -333

Unit cell a=4.9618 b=4.9618 c=5.3685 alpha=90.00 beta=90.00 gamma=90.00
Closest atoms and distances in Å follow each position.
Element x y z (fractional)
I (0.5000, 0.5000, 0.5000)  4 In 3.51, 8 Ga 3.66
Ga (0.5000, 0.0000, 0.0000)  2 Pd 2.48
In (0.0000, 0.0000, 0.5000)  2 Pd 2.68
Ga (0.0000, 0.5000, 0.0000)  2 Pd 2.48
Pd (0.0000, 0.0000, 0.0000)  4 Ga 2.48, 2 In 2.68